Record 1
{"formula": "Tm8Sb2Te", "functional": "PBE", "state": "optimized geometry", "vol_a3_per_fu": 321.22, "formation_energy_uncorrected_ev_per_atom": -0.5580, "final_energy_ev_per_cell": -53.30, "lattice_angstrom": [[8.874, -1.995, 0.000], [8.874, 1.995, 0.000], [-0.835, 0.000, 9.074]], "species": ["Tm", "Tm", "Tm", "Tm", "Tm", "Tm", "Tm", "Tm", "Sb", "Sb", "Te"], "frac_coords": [[0.017, 0.017, 0.249], [0.212, 0.212, 0.355], [0.333, 0.333, 0.971], [0.406, 0.406, 0.457], [0.594, 0.594, 0.543], [0.667, 0.667, 0.029], [0.788, 0.788, 0.645], [0.983, 0.983, 0.751], [0.173, 0.173, 0.776], [0.827, 0.827, 0.224], [0.500, 0.500, 0.000]]}

=====

Record 2
{"formula": "Tm8Sb2Te3", "functional": "PBE", "state": "optimized geometry", "vol_a3_per_fu": 397.06, "formation_energy_uncorrected_ev_per_atom": -0.6497, "final_energy_ev_per_cell": -61.89, "lattice_angstrom": [[7.015, -4.218, 0.000], [7.015, 4.218, 0.000], [-0.383, 0.000, 6.710]], "species": ["Tm", "Tm", "Tm", "Tm", "Tm", "Tm", "Tm", "Tm", "Sb", "Sb", "Te", "Te", "Te"], "frac_coords": [[0.086, 0.672, 0.138], [0.106, 0.106, 0.377], [0.328, 0.914, 0.862], [0.333, 0.333, 0.657], [0.667, 0.667, 0.343], [0.672, 0.086, 0.138], [0.894, 0.894, 0.623], [0.914, 0.328, 0.862], [0.259, 0.259, 0.097], [0.741, 0.741, 0.903], [0.290, 0.710, 0.500], [0.500, 0.500, 0.000], [0.710, 0.290, 0.500]]}

=====

Record 3
{"formula": "Tm5Sb2Te2", "functional": "PBE", "state": "optimized geometry", "vol_a3_per_fu": 241.60, "formation_energy_uncorrected_ev_per_atom": -0.9790, "final_energy_ev_per_cell": -91.39, "lattice_angstrom": [[7.601, -3.979, 0.000], [7.601, 3.979, 0.000], [0.000, 0.000, 7.988]], "species": ["Tm", "Tm", "Tm", "Tm", "Tm", "Tm", "Tm", "Tm", "Tm", "Tm", "Sb", "Sb", "Sb", "Sb", "Te", "Te", "Te", "Te"], "frac_coords": [[0.000, 0.000, 0.000], [0.022, 0.708, 0.658], [0.208, 0.522, 0.158], [0.292, 0.978, 0.658], [0.478, 0.792, 0.158], [0.500, 0.500, 0.500], [0.522, 0.208, 0.842], [0.708, 0.022, 0.342], [0.792, 0.478, 0.842], [0.978, 0.292, 0.342], [0.145, 0.855, 0.357], [0.355, 0.645, 0.857], [0.645, 0.355, 0.143], [0.855, 0.145, 0.643], [0.200, 0.200, 0.000], [0.300, 0.300, 0.500], [0.700, 0.700, 0.500], [0.800, 0.800, 0.000]]}

=====

Record 4
{"formula": "Tm4SbTe4", "functional": "PBE", "state": "optimized geometry", "vol_a3_per_fu": 281.68, "formation_energy_uncorrected_ev_per_atom": -1.3020, "final_energy_ev_per_cell": -46.29, "lattice_angstrom": [[7.154, -2.152, 0.000], [7.154, 2.152, 0.000], [-5.292, 0.000, 9.146]], "species": ["Tm", "Tm", "Tm", "Tm", "Sb", "Te", "Te", "Te", "Te"], "frac_coords": [[0.098, 0.098, 0.402], [0.301, 0.301, 0.196], [0.699, 0.699, 0.804], [0.902, 0.902, 0.598], [0.500, 0.500, 0.500], [0.099, 0.099, 0.902], [0.304, 0.304, 0.705], [0.696, 0.696, 0.295], [0.901, 0.901, 0.098]]}

=====

Record 5
{"formula": "Tm3Sb2Te", "functional": "PBE", "state": "optimized geometry", "e_above_lowest_polymorph_mev_per_atom": 0.0, "vol_a3_per_fu": 171.86, "formation_energy_uncorrected_ev_per_atom": -1.1579, "final_energy_ev_per_cell": -63.50, "lattice_angstrom": [[3.747, -6.495, 0.000], [3.747, 6.495, 0.000], [-2.495, 0.000, 7.062]], "species": ["Tm", "Tm", "Tm", "Tm", "Tm", "Tm", "Sb", "Sb", "Sb", "Sb", "Te", "Te"], "frac_coords": [[0.000, 0.500, 0.000], [0.153, 0.326, 0.497], [0.326, 0.153, 0.997], [0.500, 0.000, 0.500], [0.674, 0.847, 0.003], [0.847, 0.674, 0.503], [0.084, 0.916, 0.250], [0.254, 0.746, 0.750], [0.746, 0.254, 0.250], [0.916, 0.084, 0.750], [0.419, 0.581, 0.250], [0.581, 0.419, 0.750]]}

=====

Record 6
{"formula": "YTmSbTe", "functional": "PBE", "state": "optimized geometry", "vol_a3_per_fu": 118.20, "formation_energy_uncorrected_ev_per_atom": -1.1884, "final_energy_ev_per_cell": -22.95, "lattice_angstrom": [[2.136, 1.233, 7.480], [-2.136, 1.233, 7.480], [0.000, -2.466, 7.480]], "species": ["Y", "Tm", "Sb", "Te"], "frac_coords": [[0.000, 0.000, 0.000], [0.822, 0.822, 0.822], [0.414, 0.414, 0.414], [0.242, 0.242, 0.242]]}